1.
Entry from Alexandria via LeMat-Bulk: MnBeF2 after structural relaxation (GGA+U).

Summary:
As for the total magnetic moment: 1.22 μB per atom. As for the total energy: -62.3 eV for the cell shown. For the volume, the calculation gives 213.9 Å³/cell. For the distance to the lowest polymorph of the same formula, the calculation gives 0.2009 eV per atom.

The structure in CIF format:
```
data_MnBeF2
_cell_length_a 3.1432
_cell_length_b 3.1432
_cell_length_c 25.0005
_cell_angle_alpha 90.00
_cell_angle_beta 90.00
_cell_angle_gamma 120.00
_space_group_name_H-M_alt 'R -3 m'
_space_group_IT_number 166
_space_group_name_Hall '-R 3 2"'
loop_
_atom_site_label
_atom_site_type_symbol
_atom_site_fract_x
_atom_site_fract_y
_atom_site_fract_z
Mn1 Mn 0.0000 0.0000 0.0000
Be1 Be 0.0000 0.0000 0.5000
F1 F 0.0000 0.0000 0.4441
```

2.
Entry from Alexandria via LeMat-Bulk: MnBe2F after structural relaxation (GGA+U).

Summary:
As for the total magnetic moment: 0.94 μB per atom. As for the total energy: -58.6 eV for the cell shown. For the volume, the calculation gives 204.9 Å³/cell. For the distance to the lowest polymorph of the same formula, the calculation gives 0.6098 eV per atom.

The structure in CIF format:
```
data_MnBe2F
_cell_length_a 5.8957
_cell_length_b 5.8957
_cell_length_c 5.8957
_cell_angle_alpha 90.00
_cell_angle_beta 90.00
_cell_angle_gamma 90.00
_space_group_name_H-M_alt 'F m -3 m'
_space_group_IT_number 225
_space_group_name_Hall '-F 4 2 3'
loop_
_atom_site_label
_atom_site_type_symbol
_atom_site_fract_x
_atom_site_fract_y
_atom_site_fract_z
Mn1 Mn 0.0000 0.0000 0.0000
Be1 Be 0.2500 0.2500 0.2500
F1 F 0.0000 0.0000 0.5000
```

3.
Entry from Alexandria via LeMat-Bulk: MnBeF2 after structural relaxation (GGA+U).

Summary:
As for the total magnetic moment: 1.19 μB per atom. As for the total energy: -72.0 eV for the cell shown. For the volume, the calculation gives 196.4 Å³/cell. For the distance to the lowest polymorph of the same formula, the calculation gives 0.8955 eV per atom.

The structure in CIF format:
```
data_MnBeF2
_cell_length_a 5.8124
_cell_length_b 5.8124
_cell_length_c 5.8124
_cell_angle_alpha 90.00
_cell_angle_beta 90.00
_cell_angle_gamma 90.00
_space_group_name_H-M_alt 'F m -3 m'
_space_group_IT_number 225
_space_group_name_Hall '-F 4 2 3'
loop_
_atom_site_label
_atom_site_type_symbol
_atom_site_fract_x
_atom_site_fract_y
_atom_site_fract_z
Mn1 Mn 0.0000 0.0000 0.0000
Be1 Be 0.0000 0.0000 0.5000
F1 F 0.2500 0.2500 0.2500
```

4.
Entry from Alexandria via LeMat-Bulk: MnBeF6 after structural relaxation (GGA+U).

Summary:
As for the total magnetic moment: 0.37 μB per atom. As for the total energy: -125.3 eV for the cell shown. For the volume, the calculation gives 248.2 Å³/cell.

The structure in CIF format:
```
data_MnBeF6
_cell_length_a 4.7937
_cell_length_b 4.7937
_cell_length_c 12.4731
_cell_angle_alpha 90.00
_cell_angle_beta 90.00
_cell_angle_gamma 120.00
_space_group_name_H-M_alt 'R -3'
_space_group_IT_number 148
_space_group_name_Hall '-R 3'
loop_
_atom_site_label
_atom_site_type_symbol
_atom_site_fract_x
_atom_site_fract_y
_atom_site_fract_z
Mn1 Mn 0.0000 0.0000 0.0000
Be1 Be 0.0000 0.0000 0.5000
F1 F 0.0078 0.3948 0.2479
```

5.
Entry from Alexandria via LeMat-Bulk: MnBeNF2 after structural relaxation (GGA+U).

Summary:
As for the total magnetic moment: 0.80 μB per atom. As for the total energy: -25.4 eV for the cell shown. For the volume, the calculation gives 60.4 Å³/cell. For the distance to the lowest polymorph of the same formula, the calculation gives 0.9590 eV per atom.

The structure in CIF format:
```
data_MnBeNF2
_cell_length_a 3.8458
_cell_length_b 3.8458
_cell_length_c 4.0824
_cell_angle_alpha 90.00
_cell_angle_beta 90.00
_cell_angle_gamma 90.00
_space_group_name_H-M_alt 'P 4/m m m'
_space_group_IT_number 123
_space_group_name_Hall '-P 4 2'
loop_
_atom_site_label
_atom_site_type_symbol
_atom_site_fract_x
_atom_site_fract_y
_atom_site_fract_z
Mn1 Mn 0.0000 0.0000 0.0000
Be1 Be 0.5000 0.5000 0.5000
N1 N 0.0000 0.0000 0.5000
F1 F 0.0000 0.5000 0.0000
```

6.
Entry from Alexandria via LeMat-Bulk: MnBeNF2 after structural relaxation (GGA+U).

Summary:
As for the total magnetic moment: 0.80 μB per atom. As for the total energy: -30.2 eV for the cell shown. For the volume, the calculation gives 51.6 Å³/cell. For the distance to the lowest polymorph of the same formula, the calculation gives 0.0000 eV per atom.

The structure in CIF format:
```
data_MnBeNF2
_cell_length_a 3.1578
_cell_length_b 3.1578
_cell_length_c 5.1720
_cell_angle_alpha 90.00
_cell_angle_beta 90.00
_cell_angle_gamma 90.00
_space_group_name_H-M_alt 'P 4/m m m'
_space_group_IT_number 123
_space_group_name_Hall '-P 4 2'
loop_
_atom_site_label
_atom_site_type_symbol
_atom_site_fract_x
_atom_site_fract_y
_atom_site_fract_z
Mn1 Mn 0.0000 0.0000 0.0000
Be1 Be 0.5000 0.5000 0.5000
N1 N 0.5000 0.5000 0.0000
F1 F 0.0000 0.5000 0.5000
```